The following is a DFT calculation (PBE) of an optimized crystal structure of ErMg2Te3.

N(E_F) (states/eV/atom): 0.21
Calculated density (Mg/m³): 4.58
Total energy (eV/atom): -3.69

Cell lengths 8.3332, 4.3005, 12.1485 Å; angles 90.00, 94.96, 90.00 degrees
Space group P2_1/m (No. 11)
Unique sites:
Er1 0.1583 0.2500 0.3487
Mg1 0.0847 0.7500 0.0871
Mg2 0.4288 0.2500 0.5758
Te1 0.1058 0.7500 0.8543
Te2 0.1760 0.7500 0.5393
Te3 0.3544 0.7500 0.2355